Below is a geometry-optimized MgZnFe structure, with properties calculated at the PBE level.

Geometry as extended XYZ:
```
6
Lattice="-0.190 1.501 -4.720 1.978 2.436 -6.095 -3.089 -12.720 10.242" Properties=species:S:1:pos:R:3 pbc="T T T"
Zn 0.273 -0.044 -3.599
Zn -1.704 -7.533 1.635
Fe -0.110 -4.937 -1.605
Fe -0.881 -4.876 1.506
Mg 0.574 -0.597 -6.460
Mg -1.120 -9.648 3.417
```

Computed properties:
Its space-group type is No. 1. The value obtained for the total energy is -22.2 eV for the cell shown. The value obtained for the density of states at the Fermi level is 2.67 states/eV per cell. For the formation energy, the calculation gives 0.0733 eV per atom.


Below is a geometry-optimized Mg2ZnFe structure, with properties calculated at the PBE level.

Geometry as extended XYZ:
```
4
Lattice="4.513 0.000 0.000 0.000 4.513 0.000 0.000 0.000 3.222" Properties=species:S:1:pos:R:3 pbc="T T T"
Zn 2.256 0.000 1.611
Fe 0.000 2.256 1.611
Mg 0.000 0.000 0.000
Mg 2.256 2.256 0.000
```

Computed properties:
Its space-group type is No. 123. The value obtained for the total energy is -12.3 eV for the cell shown. The value obtained for the density of states at the Fermi level is 3.62 states/eV per cell. For the formation energy, the calculation gives 0.1500 eV per atom.


Below is a geometry-optimized MgZnFe2 structure, with properties calculated at the PBE level.

Geometry as extended XYZ:
```
4
Lattice="4.564 -0.002 -0.022 3.802 2.524 -0.022 0.649 0.196 4.768" Properties=species:S:1:pos:R:3 pbc="T T T"
Mg 4.508 1.359 2.375
Zn 2.297 0.693 1.112
Fe 8.997 2.713 4.671
Fe 6.735 2.030 3.652
```

Computed properties:
Its space-group type is No. 8. The value obtained for the total energy is -19.2 eV for the cell shown. The value obtained for the density of states at the Fermi level is 3.29 states/eV per cell. For the formation energy, the calculation gives 0.1562 eV per atom.


Below is a geometry-optimized Mg2ZnFe structure, with properties calculated at the PBE level.

Geometry as extended XYZ:
```
4
Lattice="6.425 -0.007 -0.021 -2.560 4.169 0.030 1.304 0.778 2.444" Properties=species:S:1:pos:R:3 pbc="T T T"
Mg 0.000 0.000 0.000
Mg 3.864 0.386 1.212
Zn -0.628 2.473 1.237
Fe 1.932 2.081 0.004
```

Computed properties:
Its space-group type is No. 12. The value obtained for the total energy is -12.4 eV for the cell shown. The value obtained for the density of states at the Fermi level is 2.12 states/eV per cell. For the formation energy, the calculation gives 0.1294 eV per atom.


Below is a geometry-optimized Mg2ZnFe structure, with properties calculated at the PBE level.

Geometry as extended XYZ:
```
4
Lattice="-0.963 2.505 -4.793 0.596 -2.785 -4.697 -2.550 0.497 4.840" Properties=species:S:1:pos:R:3 pbc="T T T"
Zn -0.193 -0.147 -4.979
Mg -0.359 -0.274 -9.274
Mg -1.073 -1.218 -2.419
Fe -1.843 1.435 -2.212
```

Computed properties:
Its space-group type is No. 44. The value obtained for the total energy is -12.5 eV for the cell shown. The value obtained for the density of states at the Fermi level is 2.70 states/eV per cell. For the formation energy, the calculation gives 0.1153 eV per atom.


Below is a geometry-optimized MgZn2Fe structure, with properties calculated at the PBE level.

Geometry as extended XYZ:
```
4
Lattice="9.159 0.013 0.008 8.728 2.777 0.008 8.728 1.361 2.420" Properties=species:S:1:pos:R:3 pbc="T T T"
Zn 26.536 4.139 2.428
Zn 6.520 1.017 0.597
Fe 13.383 2.087 1.225
Mg 20.095 3.134 1.839
```

Computed properties:
Its space-group type is No. 160. The value obtained for the total energy is -12.0 eV for the cell shown. The value obtained for the density of states at the Fermi level is 2.82 states/eV per cell. For the formation energy, the calculation gives 0.1611 eV per atom.


no.,M_tot (μB/cell)
1,4.5
2,2.3
3,4.4
4,2.1
5,2.0
6,2.3